*a*
Entry from OQMD via LeMat-Bulk: a relaxed structure of SrScAgS3 (GGA-PBE).

abc: 10.3476 3.8910 13.1706
angles: 90.00 90.00 90.00
Space group Pnma (No. 62)
Asymmetric unit:
Sr  0.2219  0.2500  0.0093
Sc  0.0027  0.7500  0.7337
Ag  0.2432  0.7500  0.2287
S  0.0340  0.7500  0.1275
S  0.0717  0.2500  0.6126
S  0.2201  0.2500  0.3476

## Properties
V   133 Å³/f.u.
Theoretical density   4.22 Mg/m³

***

*b*
Entry from OQMD via LeMat-Bulk: a relaxed structure of SrScAgS3 (GGA-PBE).

abc: 7.6002 3.9265 9.1929
angles: 90.00 106.91 90.00
Space group P2_1/m (No. 11)
Asymmetric unit:
Sr  0.2405  0.2500  0.2720
Sc  0.3156  0.7500  0.8464
Ag  0.1041  0.2500  0.5959
S  0.0861  0.2500  0.8610
S  0.2917  0.7500  0.5454
S  0.4454  0.7500  0.1367

## Properties
V   131 Å³/f.u.
Theoretical density   4.26 Mg/m³

***

The structure shown above that is most stable: *b*.